[1]
Computed, not measured: a geometry-optimized TaBeOs2 structure at the PBE level of DFT.

Calculated values
Formation enthalpy at 0 K = -0.085 eV/atom
Crystal system = orthorhombic
D(E_F) = 2.14 states/eV per cell
M_tot = 0.0 μB per formula unit
Space group = Immm, No. 71

a b c (Å): 4.8384 4.8384 4.8384
angles (deg): 143.33 123.15 69.58
With the nearest neighbours (Å) after each atom.
Element x y z (fractional)
1 Ta 0.0000 0.0000 0.0000  8 Os 2.68-2.90, 4 Be 2.76
2 Be 0.5000 0.5000 0.0000  4 Os 2.33
3 Os 0.2777 0.7777 0.5000  2 Be 2.33
4 Os 0.7223 0.2223 0.5000  2 Be 2.33

=====

[2]
Computed, not measured: a geometry-optimized Tl3AuBr6 structure at the PBE level of DFT.

Calculated values
Crystal system = monoclinic
Formation energy without anion corrections = -0.582 eV/atom
M_tot = 0.0 μB per formula unit
Space group = P2_1/c, No. 14
Offset from the most stable computed form = 0 meV per atom

a b c (Å): 5.1560 8.1136 18.5272
angles (deg): 90.00 102.88 90.00
With the nearest neighbours (Å) after each atom.
Element x y z (fractional)
1 Tl 0.0000 0.0000 0.0000  8 Br 3.43-3.65
2 Tl 0.0000 0.5000 0.5000  8 Br 3.43-3.65
3 Tl 0.1960 0.1493 0.7158  4 Br 3.23-3.60
4 Tl 0.1960 0.3507 0.2158  4 Br 3.23-3.60
5 Tl 0.8040 0.6493 0.7842  4 Br 3.23-3.60
6 Tl 0.8040 0.8507 0.2842  4 Br 3.23-3.60
7 Au 0.5000 0.0000 0.5000  4 Br 2.48-2.50
8 Au 0.5000 0.5000 0.0000  4 Br 2.48-2.50
9 Br 0.1594 0.1575 0.4087  1 Au 2.50
10 Br 0.1594 0.3425 0.9087  1 Au 2.50
11 Br 0.2275 0.5426 0.6874  4 Tl 3.23-3.43, 1 Br 3.39
12 Br 0.2275 0.9574 0.1874  4 Tl 3.23-3.43, 1 Br 3.39
13 Br 0.4171 0.7505 0.4207  1 Au 2.48
14 Br 0.4171 0.7495 0.9207  1 Au 2.48
15 Br 0.5829 0.2505 0.0793  1 Au 2.48
16 Br 0.5829 0.2495 0.5793  1 Au 2.48
17 Br 0.7725 0.0426 0.8126  4 Tl 3.23-3.43, 1 Br 3.39
18 Br 0.7725 0.4574 0.3126  4 Tl 3.23-3.43, 1 Br 3.39
19 Br 0.8406 0.6575 0.0913  1 Au 2.50
20 Br 0.8406 0.8425 0.5913  1 Au 2.50

=====

[3]
Computed, not measured: a geometry-optimized Sr2AlVPd structure at the PBE level of DFT.

Calculated values
Formation enthalpy at 0 K = 0.582 eV/atom
Crystal system = tetragonal
D(E_F) = 3.84 states/eV per cell
M_tot = 3.1 μB per formula unit
Space group = P4/mmm, No. 123

a b c (Å): 6.0215 6.0215 4.5662
angles (deg): 90.00 90.00 90.00
With the nearest neighbours (Å) after each atom.
Element x y z (fractional)
1 Sr 0.0000 0.5000 0.0000  2 V 3.01
2 Sr 0.5000 0.0000 0.0000  2 V 3.01
3 Al 0.0000 0.0000 0.5000  8 Sr 3.78
4 V 0.5000 0.5000 0.0000  2 Pd 2.28
5 Pd 0.5000 0.5000 0.5000  2 V 2.28

=====

[4]
Computed, not measured: a geometry-optimized Pr8P3RhCl4 structure at the PBE level of DFT.

Calculated values
Crystal system = trigonal
Formation energy without anion corrections = -1.463 eV/atom
D(E_F) = 6.80 states/eV per cell
M_tot = 0.0 μB per formula unit
Space group = R-3m, No. 166

a b c (Å): 8.5081 8.5081 8.5081
angles (deg): 58.99 58.99 58.99
With the nearest neighbours (Å) after each atom.
Element x y z (fractional)
1 Pr 0.2396 0.2396 0.2396  3 P 2.86, 3 Cl 3.12
2 Pr 0.2418 0.7380 0.7380  1 Rh 2.84, 2 P 2.87, 3 Cl 3.12-3.14
3 Pr 0.2620 0.2620 0.7582  1 Rh 2.84, 2 P 2.87, 3 Cl 3.12-3.14
4 Pr 0.2620 0.7582 0.2620  1 Rh 2.84, 2 P 2.87, 3 Cl 3.12-3.14
5 Pr 0.7380 0.2418 0.7380  1 Rh 2.84, 2 P 2.87, 3 Cl 3.12-3.14
6 Pr 0.7380 0.7380 0.2418  1 Rh 2.84, 2 P 2.87, 3 Cl 3.12-3.14
7 Pr 0.7582 0.2620 0.2620  1 Rh 2.84, 2 P 2.87, 3 Cl 3.12-3.14
8 Pr 0.7604 0.7604 0.7604  3 P 2.86, 3 Cl 3.12
9 P 0.0000 0.0000 0.5000  6 Pr 2.86-2.87
10 P 0.0000 0.5000 0.0000  6 Pr 2.86-2.87
11 P 0.5000 0.0000 0.0000  6 Pr 2.86-2.87
12 Rh 0.5000 0.5000 0.5000  6 Pr 2.84
13 Cl 0.0000 0.0000 0.0000  6 Pr 3.14
14 Cl 0.0000 0.5000 0.5000  6 Pr 3.12
15 Cl 0.5000 0.0000 0.5000  6 Pr 3.12
16 Cl 0.5000 0.5000 0.0000  6 Pr 3.12

=====

[5]
Computed, not measured: a geometry-optimized GdZnSb structure at the PBE level of DFT.

Calculated values
Crystal system = trigonal
Formation energy without anion corrections = -0.633 eV/atom
D(E_F) = 2.23 states/eV per cell
M_tot = 7.0 μB per formula unit
Space group = P3m1, No. 156

a b c (Å): 4.4182 4.4182 4.3458
angles (deg): 90.00 90.00 120.00
With the nearest neighbours (Å) after each atom.
Element x y z (fractional)
1 Gd 0.0000 0.0000 0.0000  3 Zn 2.94, 3 Sb 3.22
2 Zn 0.3333 0.6667 0.3357  3 Sb 2.71, 3 Gd 2.94
3 Sb 0.6667 0.3333 0.5478  3 Zn 2.71

=====

[6]
Computed, not measured: a geometry-optimized CdCu2Pb structure at the PBE level of DFT.

Calculated values
Formation enthalpy at 0 K = 0.369 eV/atom
Crystal system = cubic
D(E_F) = 2.02 states/eV per cell
M_tot = 0.0 μB per formula unit
Space group = F-43m, No. 216
Offset from the most stable computed form = 217 meV per atom

a b c (Å): 4.7874 4.7874 4.7874
angles (deg): 60.00 60.00 60.00
With the nearest neighbours (Å) after each atom.
Element x y z (fractional)
1 Cd 0.0000 0.0000 0.0000  4 Cu 2.93, 4 Pb 2.93
2 Cu 0.5000 0.5000 0.5000  4 Pb 2.93, 4 Cu 2.93
3 Cu 0.7500 0.7500 0.7500  4 Cd 2.93, 4 Cu 2.93
4 Pb 0.2500 0.2500 0.2500  4 Cd 2.93, 4 Cu 2.93

=====

[7]
Computed, not measured: a geometry-optimized TlZn3Tc structure at the PBE level of DFT.

Calculated values
Formation enthalpy at 0 K = 0.604 eV/atom
Crystal system = cubic
D(E_F) = 3.76 states/eV per cell
M_tot = 0.9 μB per formula unit
Space group = Pm-3m, No. 221
Offset from the most stable computed form = 0 meV per atom

a b c (Å): 4.9209 4.9209 4.9209
angles (deg): 90.00 90.00 90.00
With the nearest neighbours (Å) after each atom.
Element x y z (fractional)
1 Tl 0.0000 0.0000 0.0000  12 Zn 3.48
2 Zn 0.0000 0.5000 0.5000  2 Tc 2.46
3 Zn 0.5000 0.0000 0.5000  2 Tc 2.46
4 Zn 0.5000 0.5000 0.0000  2 Tc 2.46
5 Tc 0.5000 0.5000 0.5000  6 Zn 2.46

=====

[8]
Computed, not measured: a geometry-optimized SrTmPt structure at the PBE level of DFT.

Calculated values
Formation enthalpy at 0 K = -0.730 eV/atom
Crystal system = tetragonal
D(E_F) = 1.96 states/eV per cell
M_tot = 0.0 μB per formula unit
Space group = I4mm, No. 107
Offset from the most stable computed form = 128 meV per atom

a b c (Å): 7.1030 7.1030 7.1030
angles (deg): 150.53 150.53 42.16
With the nearest neighbours (Å) after each atom.
Element x y z (fractional)
1 Sr 0.0000 0.0000 0.0000  4 Pt 3.31, 1 Tm 3.41, 4 Sr 3.61
2 Tm 0.2573 0.2573 0.0000  4 Pt 2.87
3 Pt 0.6593 0.6593 0.0000  4 Tm 2.87